# 1
A plane-wave DFT calculation with meta-GGA SCAN was carried out for a PBEsol-optimized structure of FeSb2PH.

Geometry as POSCAR:
```
FeSb2PH
1.0
5.250 0.000 0.000
0.000 5.250 0.000
0.000 0.000 3.114
Fe Sb P H
1 2 1 1
Direct
0.000 0.000 0.000
0.000 0.500 0.500
0.500 0.000 0.500
0.500 0.500 0.500
0.500 0.500 0.000
```

Total DFT energy (no corrections) in eV per atom: -20.873
Total moment in μB per cell: 2.753
V in Å³ per cell: 86



# 2
A plane-wave DFT calculation with meta-GGA SCAN was carried out for a PBEsol-optimized structure of Fe3HPb.

Geometry as POSCAR:
```
Fe3HPb
1.0
4.987 0.000 0.000
0.000 4.987 0.000
0.000 0.000 4.987
Fe H Pb
3 1 1
Direct
0.000 0.000 0.500
0.000 0.500 0.000
0.500 0.000 0.000
0.500 0.500 0.500
0.000 0.000 0.000
```

Total DFT energy (no corrections) in eV per atom: -24.877
Total moment in μB per cell: 10.992
V in Å³ per cell: 124



# 3
A plane-wave DFT calculation with meta-GGA SCAN was carried out for a PBEsol-optimized structure of FeH2Pb.

Geometry as POSCAR:
```
FeH2Pb
1.0
4.596 0.000 0.000
0.000 4.596 0.000
0.000 0.000 8.896
Fe H Pb
4 8 4
Direct
0.000 0.250 0.375
0.000 0.750 0.625
0.500 0.250 0.125
0.500 0.750 0.875
0.000 0.000 0.500
0.000 0.500 0.500
0.250 0.250 0.250
0.250 0.750 0.750
0.500 0.000 0.000
0.500 0.500 0.000
0.750 0.250 0.250
0.750 0.750 0.750
0.000 0.250 0.875
0.000 0.750 0.125
0.500 0.250 0.625
0.500 0.750 0.375
```

Total DFT energy (no corrections) in eV per atom: -24.809
Total moment in μB per cell: 9.478
V in Å³ per cell: 188



# 4
A plane-wave DFT calculation with meta-GGA SCAN was carried out for a PBEsol-optimized structure of Fe3HPd.

Geometry as POSCAR:
```
Fe3HPd
1.0
3.684 0.000 0.000
0.000 3.684 0.000
0.000 0.000 3.684
Fe H Pd
3 1 1
Direct
0.000 0.000 0.500
0.000 0.500 0.000
0.500 0.000 0.000
0.000 0.000 0.000
0.500 0.500 0.500
```

Total DFT energy (no corrections) in eV per atom: -18.182
Total moment in μB per cell: 8.420
V in Å³ per cell: 50



# 5
A plane-wave DFT calculation with meta-GGA SCAN was carried out for a PBEsol-optimized structure of Fe2H2Pd.

Geometry as POSCAR:
```
Fe2H2Pd
1.0
3.171 0.000 0.000
0.000 3.171 0.000
0.000 0.000 8.315
Fe H Pd
4 4 2
Direct
0.000 0.000 0.169
0.000 0.000 0.831
0.500 0.500 0.331
0.500 0.500 0.669
0.000 0.500 0.250
0.000 0.500 0.750
0.500 0.000 0.250
0.500 0.000 0.750
0.000 0.000 0.500
0.500 0.500 0.000
```

Total DFT energy (no corrections) in eV per atom: -15.140
Total moment in μB per cell: 10.891
V in Å³ per cell: 84



# 6
A plane-wave DFT calculation with meta-GGA SCAN was carried out for a PBEsol-optimized structure of FeH2Pt2.

Geometry as POSCAR:
```
FeH2Pt2
1.0
5.987 0.000 0.000
0.000 5.987 0.000
0.000 0.000 2.787
Fe H Pt
2 4 4
Direct
0.000 0.000 0.000
0.500 0.500 0.000
0.207 0.293 0.000
0.293 0.793 0.000
0.707 0.207 0.000
0.793 0.707 0.000
0.164 0.664 0.500
0.336 0.164 0.500
0.664 0.836 0.500
0.836 0.336 0.500
```

Total DFT energy (no corrections) in eV per atom: -33.010
Total moment in μB per cell: 7.231
V in Å³ per cell: 100



# 7
A plane-wave DFT calculation with meta-GGA SCAN was carried out for a PBEsol-optimized structure of Fe2H2Pt.

Geometry as POSCAR:
```
Fe2H2Pt
1.0
3.179 0.000 0.000
0.000 3.179 0.000
0.000 0.000 8.323
Fe H Pt
4 4 2
Direct
0.000 0.000 0.169
0.000 0.000 0.831
0.500 0.500 0.331
0.500 0.500 0.669
0.000 0.500 0.250
0.000 0.500 0.750
0.500 0.000 0.250
0.500 0.000 0.750
0.000 0.000 0.500
0.500 0.500 0.000
```

Total DFT energy (no corrections) in eV per atom: -22.638
Total moment in μB per cell: 10.861
V in Å³ per cell: 84



# 8
A plane-wave DFT calculation with meta-GGA SCAN was carried out for a PBEsol-optimized structure of Fe3ReH.

Geometry as POSCAR:
```
Fe3ReH
1.0
3.573 0.000 0.000
0.000 3.573 0.000
0.000 0.000 3.573
Fe Re H
3 1 1
Direct
0.000 0.000 0.500
0.000 0.500 0.000
0.500 0.000 0.000
0.500 0.500 0.500
0.000 0.000 0.000
```

Total DFT energy (no corrections) in eV per atom: -25.544
Total moment in μB per cell: 0.000
V in Å³ per cell: 46



# 9
A plane-wave DFT calculation with meta-GGA SCAN was carried out for a PBEsol-optimized structure of Fe2ReH2.

Geometry as POSCAR:
```
Fe2ReH2
1.0
3.122 0.000 0.000
0.000 3.122 0.000
0.000 0.000 8.023
Fe Re H
4 2 4
Direct
0.000 0.000 0.164
0.000 0.000 0.836
0.500 0.500 0.336
0.500 0.500 0.664
0.000 0.000 0.500
0.500 0.500 0.000
0.000 0.500 0.250
0.000 0.500 0.750
0.500 0.000 0.250
0.500 0.000 0.750
```

Total DFT energy (no corrections) in eV per atom: -22.499
Total moment in μB per cell: 5.910
V in Å³ per cell: 78



# 10
A plane-wave DFT calculation with meta-GGA SCAN was carried out for a PBEsol-optimized structure of FeHRh.

Geometry as POSCAR:
```
FeHRh
1.0
4.334 0.000 0.000
0.000 2.708 0.000
-0.066 0.000 4.621
Fe H Rh
2 2 2
Direct
0.226 0.000 0.169
0.774 0.000 0.831
0.500 0.000 0.500
0.500 0.500 0.000
0.248 0.500 0.679
0.752 0.500 0.321
```

Total DFT energy (no corrections) in eV per atom: -18.547
Total moment in μB per cell: 6.797
V in Å³ per cell: 54



# 11
A plane-wave DFT calculation with meta-GGA SCAN was carried out for a PBEsol-optimized structure of FeH2Rh2.

Geometry as POSCAR:
```
FeH2Rh2
1.0
2.879 0.000 0.000
0.000 2.879 0.000
0.000 0.000 10.891
Fe H Rh
2 4 4
Direct
0.000 0.000 0.000
0.500 0.500 0.500
0.000 0.500 0.250
0.000 0.500 0.750
0.500 0.000 0.250
0.500 0.000 0.750
0.000 0.000 0.357
0.000 0.000 0.643
0.500 0.500 0.143
0.500 0.500 0.857
```

Total DFT energy (no corrections) in eV per atom: -18.622
Total moment in μB per cell: 8.899
V in Å³ per cell: 90



# 12
A plane-wave DFT calculation with meta-GGA SCAN was carried out for a PBEsol-optimized structure of FeHRh3.

Geometry as POSCAR:
```
FeHRh3
1.0
3.807 0.000 0.000
0.000 3.807 0.000
0.000 0.000 3.807
Fe H Rh
1 1 3
Direct
0.000 0.000 0.000
0.500 0.500 0.500
0.000 0.500 0.500
0.500 0.000 0.500
0.500 0.500 0.000
```

Total DFT energy (no corrections) in eV per atom: -24.702
Total moment in μB per cell: 4.296
V in Å³ per cell: 55



# 13
A plane-wave DFT calculation with meta-GGA SCAN was carried out for a PBEsol-optimized structure of FeSi2HRh.

Geometry as POSCAR:
```
FeSi2HRh
1.0
4.187 0.000 0.000
0.000 4.187 0.000
0.000 0.000 4.466
Fe Si H Rh
1 2 1 1
Direct
0.000 0.000 0.000
0.000 0.500 0.000
0.500 0.000 0.000
0.500 0.500 0.500
0.000 0.000 0.500
```

Total DFT energy (no corrections) in eV per atom: -13.947
Total moment in μB per cell: 0.001
V in Å³ per cell: 78



# 14
A plane-wave DFT calculation with meta-GGA SCAN was carried out for a PBEsol-optimized structure of FeH2Ru.

Geometry as POSCAR:
```
FeH2Ru
1.0
3.941 0.000 0.000
0.000 3.941 0.000
0.000 0.000 7.874
Fe H Ru
4 8 4
Direct
0.000 0.000 0.000
0.000 0.500 0.250
0.500 0.000 0.750
0.500 0.500 0.500
0.226 0.250 0.125
0.250 0.726 0.375
0.250 0.774 0.875
0.274 0.250 0.625
0.726 0.750 0.625
0.750 0.226 0.875
0.750 0.274 0.375
0.774 0.750 0.125
0.000 0.000 0.500
0.000 0.500 0.750
0.500 0.000 0.250
0.500 0.500 0.000
```

Total DFT energy (no corrections) in eV per atom: -14.783
Total moment in μB per cell: 13.248
Polymorph energy (0 for the lowest one) in eV/atom: 0.000
V in Å³ per cell: 122



# 15
A plane-wave DFT calculation with meta-GGA SCAN was carried out for a PBEsol-optimized structure of FeH2Ru.

Geometry as POSCAR:
```
FeH2Ru
1.0
4.994 0.000 0.000
0.000 4.994 0.000
0.000 0.000 4.994
Fe H Ru
4 8 4
Direct
0.000 0.000 0.000
0.000 0.500 0.500
0.500 0.000 0.500
0.500 0.500 0.000
0.250 0.250 0.250
0.250 0.250 0.750
0.250 0.750 0.250
0.250 0.750 0.750
0.750 0.250 0.250
0.750 0.250 0.750
0.750 0.750 0.250
0.750 0.750 0.750
0.000 0.000 0.500
0.000 0.500 0.000
0.500 0.000 0.000
0.500 0.500 0.500
```

Total DFT energy (no corrections) in eV per atom: -14.433
Total moment in μB per cell: 14.113
Polymorph energy (0 for the lowest one) in eV/atom: 0.350
V in Å³ per cell: 125



# 16
A plane-wave DFT calculation with meta-GGA SCAN was carried out for a PBEsol-optimized structure of FeTe2HSe.

Geometry as POSCAR:
```
FeTe2HSe
1.0
5.094 0.000 0.000
0.000 5.094 0.000
0.000 0.000 4.537
Fe Te H Se
1 2 1 1
Direct
0.000 0.000 0.000
0.000 0.500 0.000
0.500 0.000 0.000
0.500 0.500 0.500
0.000 0.000 0.500
```

Total DFT energy (no corrections) in eV per atom: -22.466
Total moment in μB per cell: 4.863
V in Å³ per cell: 118



# 17
A plane-wave DFT calculation with meta-GGA SCAN was carried out for a PBEsol-optimized structure of ZrFeHSe2.

Geometry as POSCAR:
```
ZrFeHSe2
1.0
4.472 0.000 0.000
0.000 4.472 0.000
0.000 0.000 3.304
Zr Fe H Se
1 1 1 2
Direct
0.000 0.000 0.000
0.500 0.500 0.000
0.500 0.500 0.500
0.000 0.500 0.500
0.500 0.000 0.500
```

Total DFT energy (no corrections) in eV per atom: -18.708
Total moment in μB per cell: 2.158
V in Å³ per cell: 66



# 18
A plane-wave DFT calculation with meta-GGA SCAN was carried out for a PBEsol-optimized structure of Fe2SiH2.

Geometry as POSCAR:
```
Fe2SiH2
1.0
2.731 0.000 0.000
0.000 2.731 0.000
0.000 0.000 9.646
Fe Si H
4 2 4
Direct
0.000 0.000 0.140
0.000 0.000 0.860
0.500 0.500 0.360
0.500 0.500 0.640
0.000 0.000 0.500
0.500 0.500 0.000
0.000 0.500 0.250
0.000 0.500 0.750
0.500 0.000 0.250
0.500 0.000 0.750
```

Total DFT energy (no corrections) in eV per atom: -10.648
Total moment in μB per cell: 3.500
V in Å³ per cell: 72



# 19
A plane-wave DFT calculation with meta-GGA SCAN was carried out for a PBEsol-optimized structure of Fe3SiH.

Geometry as POSCAR:
```
Fe3SiH
1.0
3.524 0.000 0.000
0.000 3.524 0.000
0.000 0.000 3.524
Fe Si H
3 1 1
Direct
0.000 0.000 0.500
0.000 0.500 0.000
0.500 0.000 0.000
0.500 0.500 0.500
0.000 0.000 0.000
```

Total DFT energy (no corrections) in eV per atom: -13.691
Total moment in μB per cell: 6.471
V in Å³ per cell: 44



# 20
A plane-wave DFT calculation with meta-GGA SCAN was carried out for a PBEsol-optimized structure of FeSi2SnH.

Geometry as POSCAR:
```
FeSi2SnH
1.0
4.199 0.000 0.000
0.000 4.199 0.000
0.000 0.000 4.854
Fe Si Sn H
1 2 1 1
Direct
0.000 0.000 0.000
0.000 0.500 0.000
0.500 0.000 0.000
0.000 0.000 0.500
0.500 0.500 0.500
```

Total DFT energy (no corrections) in eV per atom: -14.970
Total moment in μB per cell: 0.988
V in Å³ per cell: 86